# LaErNi2H8 PBE-GGA optimized geometry
data_LaErNi2H8
_cell_length_a 4.4440
_cell_length_b 4.4440
_cell_length_c 19.7416
_cell_angle_alpha 90.00
_cell_angle_beta 90.00
_cell_angle_gamma 120.00
_space_group_name_H-M_alt 'R -3 m'
_space_group_IT_number 166
_space_group_name_Hall '-R 3 2"'
loop_
_atom_site_label
_atom_site_type_symbol
_atom_site_fract_x
_atom_site_fract_y
_atom_site_fract_z
_atom_site_occupancy
La1 La 0.0000 0.0000 0.0000 1
Er1 Er 0.0000 0.0000 0.5000 1
Ni1 Ni 0.0000 0.0000 0.2507 1
H1 H 0.0000 0.0000 0.3319 1
H2 H 0.0404 0.5202 0.5541 1
# - E_tot: -51.590 eV/f.u.

# LaPm2ErH PBE-GGA optimized geometry
data_LaPm2ErH
_cell_length_a 5.133
_cell_length_b 5.133
_cell_length_c 5.076
_cell_angle_alpha 90.00
_cell_angle_beta 90.00
_cell_angle_gamma 90.00
_space_group_name_H-M_alt 'P 4/m m m'
_space_group_IT_number 123
_space_group_name_Hall '-P 4 2'
loop_
_atom_site_label
_atom_site_type_symbol
_atom_site_fract_x
_atom_site_fract_y
_atom_site_fract_z
_atom_site_occupancy
La1 La 0.000 0.000 0.000 1
Pm1 Pm 0.000 0.500 0.500 1
Er1 Er 0.500 0.500 0.000 1
H1 H 0.500 0.500 0.500 1
# - E_tot: -23.196 eV/f.u.

# La2PmErH PBE-GGA optimized geometry
data_La2PmErH
_cell_length_a 5.211
_cell_length_b 5.211
_cell_length_c 5.070
_cell_angle_alpha 90.00
_cell_angle_beta 90.00
_cell_angle_gamma 90.00
_space_group_name_H-M_alt 'P 4/m m m'
_space_group_IT_number 123
_space_group_name_Hall '-P 4 2'
loop_
_atom_site_label
_atom_site_type_symbol
_atom_site_fract_x
_atom_site_fract_y
_atom_site_fract_z
_atom_site_occupancy
La1 La 0.000 0.500 0.000 1
Pm1 Pm 0.000 0.000 0.500 1
Er1 Er 0.500 0.500 0.500 1
H1 H 0.500 0.500 0.000 1
# - E_tot: -23.383 eV/f.u.

# LaPr2ErH PBE-GGA optimized geometry
data_LaPr2ErH
_cell_length_a 5.194
_cell_length_b 5.194
_cell_length_c 5.099
_cell_angle_alpha 90.00
_cell_angle_beta 90.00
_cell_angle_gamma 90.00
_space_group_name_H-M_alt 'P 4/m m m'
_space_group_IT_number 123
_space_group_name_Hall '-P 4 2'
loop_
_atom_site_label
_atom_site_type_symbol
_atom_site_fract_x
_atom_site_fract_y
_atom_site_fract_z
_atom_site_occupancy
La1 La 0.000 0.000 0.000 1
Pr1 Pr 0.000 0.500 0.500 1
Er1 Er 0.500 0.500 0.000 1
H1 H 0.500 0.500 0.500 1
# - E_tot: -23.254 eV/f.u.

# La2PrErH PBE-GGA optimized geometry
data_La2PrErH
_cell_length_a 5.216
_cell_length_b 5.216
_cell_length_c 5.111
_cell_angle_alpha 90.00
_cell_angle_beta 90.00
_cell_angle_gamma 90.00
_space_group_name_H-M_alt 'P 4/m m m'
_space_group_IT_number 123
_space_group_name_Hall '-P 4 2'
loop_
_atom_site_label
_atom_site_type_symbol
_atom_site_fract_x
_atom_site_fract_y
_atom_site_fract_z
_atom_site_occupancy
La1 La 0.000 0.500 0.000 1
Pr1 Pr 0.000 0.000 0.500 1
Er1 Er 0.500 0.500 0.500 1
H1 H 0.500 0.500 0.000 1
# - E_tot: -23.426 eV/f.u.

# La2ErH12Rh3 PBE-GGA optimized geometry
data_La2ErH12Rh3
_cell_length_a 6.6753
_cell_length_b 6.6753
_cell_length_c 14.1917
_cell_angle_alpha 90.00
_cell_angle_beta 90.00
_cell_angle_gamma 120.00
_space_group_name_H-M_alt 'R -3 m'
_space_group_IT_number 166
_space_group_name_Hall '-R 3 2"'
loop_
_atom_site_label
_atom_site_type_symbol
_atom_site_fract_x
_atom_site_fract_y
_atom_site_fract_z
_atom_site_occupancy
La1 La 0.0000 0.0000 0.1165 1
Er1 Er 0.0000 0.0000 0.5000 1
H1 H 0.0215 0.5107 0.8810 1
H2 H 0.0632 0.5316 0.3228 1
Rh1 Rh 0.0000 0.5000 0.0000 1
# - E_tot: -84.164 eV/f.u.

# LaErH8Rh2 PBE-GGA optimized geometry
data_LaErH8Rh2
_cell_length_a 4.9055
_cell_length_b 4.9055
_cell_length_c 18.0894
_cell_angle_alpha 90.00
_cell_angle_beta 90.00
_cell_angle_gamma 120.00
_space_group_name_H-M_alt 'R -3'
_space_group_IT_number 148
_space_group_name_Hall '-R 3'
loop_
_atom_site_label
_atom_site_type_symbol
_atom_site_fract_x
_atom_site_fract_y
_atom_site_fract_z
_atom_site_occupancy
La1 La 0.0000 0.0000 0.0000 1
Er1 Er 0.0000 0.0000 0.5000 1
H1 H 0.0000 0.0000 0.3173 1
H2 H 0.0408 0.2868 0.8922 1
Rh1 Rh 0.0000 0.0000 0.2282 1
# - E_tot: -54.983 eV/f.u.

# La2Er2Sb2H PBE-GGA optimized geometry
data_La2Er2Sb2H
_cell_length_a 4.630
_cell_length_b 4.630
_cell_length_c 17.073
_cell_angle_alpha 90.00
_cell_angle_beta 90.00
_cell_angle_gamma 90.00
_space_group_name_H-M_alt 'I 4/m m m'
_space_group_IT_number 139
_space_group_name_Hall '-I 4 2'
loop_
_atom_site_label
_atom_site_type_symbol
_atom_site_fract_x
_atom_site_fract_y
_atom_site_fract_z
_atom_site_occupancy
La1 La 0.000 0.000 0.177 1
Er1 Er 0.000 0.500 0.000 1
Sb1 Sb 0.000 0.000 0.372 1
H1 H 0.000 0.000 0.000 1
# - E_tot: -36.560 eV/f.u.

# LiEr3H3 PBE-GGA optimized geometry
data_LiEr3H3
_cell_length_a 6.238
_cell_length_b 6.238
_cell_length_c 6.238
_cell_angle_alpha 90.00
_cell_angle_beta 90.00
_cell_angle_gamma 90.00
_space_group_name_H-M_alt 'P m -3 n'
_space_group_IT_number 223
_space_group_name_Hall '-P 4n 2 3'
loop_
_atom_site_label
_atom_site_type_symbol
_atom_site_fract_x
_atom_site_fract_y
_atom_site_fract_z
_atom_site_occupancy
Li1 Li 0.000 0.000 0.000 1
Er1 Er 0.000 0.250 0.500 1
H1 H 0.000 0.500 0.250 1
# - E_tot: -27.171 eV/f.u.

# Li2ErH6 PBE-GGA optimized geometry
data_Li2ErH6
_cell_length_a 7.396
_cell_length_b 7.396
_cell_length_c 7.396
_cell_angle_alpha 90.00
_cell_angle_beta 90.00
_cell_angle_gamma 90.00
_space_group_name_H-M_alt 'F m -3 m'
_space_group_IT_number 225
_space_group_name_Hall '-F 4 2 3'
loop_
_atom_site_label
_atom_site_type_symbol
_atom_site_fract_x
_atom_site_fract_y
_atom_site_fract_z
_atom_site_occupancy
Li1 Li 0.250 0.250 0.250 1
Er1 Er 0.000 0.000 0.000 1
H1 H 0.000 0.000 0.281 1
# - E_tot: -25.914 eV/f.u.

# LiEr3H PBE-GGA optimized geometry
data_LiEr3H
_cell_length_a 4.835
_cell_length_b 4.835
_cell_length_c 4.835
_cell_angle_alpha 90.00
_cell_angle_beta 90.00
_cell_angle_gamma 90.00
_space_group_name_H-M_alt 'P m -3 m'
_space_group_IT_number 221
_space_group_name_Hall '-P 4 2 3'
loop_
_atom_site_label
_atom_site_type_symbol
_atom_site_fract_x
_atom_site_fract_y
_atom_site_fract_z
_atom_site_occupancy
Li1 Li 0.000 0.000 0.000 1
Er1 Er 0.000 0.500 0.500 1
H1 H 0.500 0.500 0.500 1
# - E_tot: -18.961 eV/f.u.

# Li5Er3H12 PBE-GGA optimized geometry
data_Li5Er3H12
_cell_length_a 11.734
_cell_length_b 11.734
_cell_length_c 11.734
_cell_angle_alpha 90.00
_cell_angle_beta 90.00
_cell_angle_gamma 90.00
_space_group_name_H-M_alt 'I a -3 d'
_space_group_IT_number 230
_space_group_name_Hall '-I 4bd 2c 3'
loop_
_atom_site_label
_atom_site_type_symbol
_atom_site_fract_x
_atom_site_fract_y
_atom_site_fract_z
_atom_site_occupancy
Li1 Li 0.000 0.000 0.000 1
Li2 Li 0.000 0.250 0.375 1
Er1 Er 0.000 0.250 0.125 1
H1 H 0.024 0.064 0.655 1
# - E_tot: -72.551 eV/f.u.

# LiEr2HPt6 PBE-GGA optimized geometry
data_LiEr2HPt6
_cell_length_a 8.595
_cell_length_b 8.407
_cell_length_c 5.855
_cell_angle_alpha 90.00
_cell_angle_beta 132.79
_cell_angle_gamma 90.00
_space_group_name_H-M_alt 'C 1 2/m 1'
_space_group_IT_number 12
loop_
_space_group_symop_operation_xyz
'x,y,z'
'-x,-y,-z'
'-x,y,-z'
'x,-y,z'
'x+1/2,y+1/2,z'
'-x+1/2,-y+1/2,-z'
'-x+1/2,y+1/2,-z'
'x+1/2,-y+1/2,z'
loop_
_atom_site_label
_atom_site_type_symbol
_atom_site_fract_x
_atom_site_fract_y
_atom_site_fract_z
_atom_site_occupancy
Li1 Li 0.000 0.000 0.000 1
Er1 Er 0.000 0.238 0.500 1
H1 H 0.000 0.500 0.000 1
Pt1 Pt 0.000 0.264 0.000 1
Pt2 Pt 0.228 0.500 0.476 1
Pt3 Pt 0.228 0.500 0.980 1
# - E_tot: -57.826 eV/f.u.

# LiEr2H6Ru PBE-GGA optimized geometry
data_LiEr2H6Ru
_cell_length_a 4.7846
_cell_length_b 4.7846
_cell_length_c 4.9862
_cell_angle_alpha 90.00
_cell_angle_beta 90.00
_cell_angle_gamma 120.00
_space_group_name_H-M_alt 'P -3 m 1'
_space_group_IT_number 164
_space_group_name_Hall '-P 3 2"'
loop_
_atom_site_label
_atom_site_type_symbol
_atom_site_fract_x
_atom_site_fract_y
_atom_site_fract_z
_atom_site_occupancy
Li1 Li 0.0000 0.0000 0.0000 1
Er1 Er 0.3333 0.6667 0.7402 1
H1 H 0.1680 0.3359 0.2732 1
Ru1 Ru 0.0000 0.0000 0.5000 1
# - E_tot: -44.198 eV/f.u.

# ErLu3H PBE-GGA optimized geometry
data_ErLu3H
_cell_length_a 4.878
_cell_length_b 4.878
_cell_length_c 4.878
_cell_angle_alpha 90.00
_cell_angle_beta 90.00
_cell_angle_gamma 90.00
_space_group_name_H-M_alt 'P m -3 m'
_space_group_IT_number 221
_space_group_name_Hall '-P 4 2 3'
loop_
_atom_site_label
_atom_site_type_symbol
_atom_site_fract_x
_atom_site_fract_y
_atom_site_fract_z
_atom_site_occupancy
Er1 Er 0.000 0.000 0.000 1
Lu1 Lu 0.000 0.500 0.500 1
H1 H 0.500 0.500 0.500 1
# - E_tot: -22.183 eV/f.u.

# Er5Lu3H12 PBE-GGA optimized geometry
data_Er5Lu3H12
_cell_length_a 12.806
_cell_length_b 12.806
_cell_length_c 12.806
_cell_angle_alpha 90.00
_cell_angle_beta 90.00
_cell_angle_gamma 90.00
_space_group_name_H-M_alt 'I a -3 d'
_space_group_IT_number 230
_space_group_name_Hall '-I 4bd 2c 3'
loop_
_atom_site_label
_atom_site_type_symbol
_atom_site_fract_x
_atom_site_fract_y
_atom_site_fract_z
_atom_site_occupancy
Er1 Er 0.000 0.000 0.000 1
Er2 Er 0.000 0.250 0.375 1
Lu1 Lu 0.000 0.250 0.125 1
H1 H 0.001 0.066 0.157 1
# - E_tot: -85.837 eV/f.u.

# Er3LuH PBE-GGA optimized geometry
data_Er3LuH
_cell_length_a 4.916
_cell_length_b 4.916
_cell_length_c 4.916
_cell_angle_alpha 90.00
_cell_angle_beta 90.00
_cell_angle_gamma 90.00
_space_group_name_H-M_alt 'P m -3 m'
_space_group_IT_number 221
_space_group_name_Hall '-P 4 2 3'
loop_
_atom_site_label
_atom_site_type_symbol
_atom_site_fract_x
_atom_site_fract_y
_atom_site_fract_z
_atom_site_occupancy
Er1 Er 0.000 0.000 0.500 1
Lu1 Lu 0.500 0.500 0.500 1
H1 H 0.000 0.000 0.000 1
# - E_tot: -22.310 eV/f.u.